# GGA-PBEsol Te5Br, relaxed
# magnetization	0.0001	μB per atom
# crystal system	cubic
# density of states at the Fermi level	5.76	states/eV/cell
# final energy	-2.957	eV/atom
# formation energy (no corrections)	0.29	eV/atom
data_Te5Br
_symmetry_space_group_name_H-M 'P 1'
_symmetry_Int_Tables_number 1
_cell_length_a 6.1957
_cell_length_b 6.1957
_cell_length_c 6.1957
_cell_angle_alpha 60.00
_cell_angle_beta 60.00
_cell_angle_gamma 60.00
loop_
_symmetry_equiv_pos_as_xyz
'x,y,z'
loop_
_atom_site_label
_atom_site_type_symbol
_atom_site_fract_x
_atom_site_fract_y
_atom_site_fract_z
Te1 Te 0.0000 0.0000 0.0000
Te2 Te 0.3736 0.3736 0.3736
Te3 Te 0.3736 0.3736 0.8791
Te4 Te 0.3736 0.8791 0.3736
Te5 Te 0.8791 0.3736 0.3736
Br1 Br 0.7500 0.7500 0.7500